1.
Below is a relaxed BaSn3As3 crystal, with properties calculated at the GGA-PBE level.

Calculated values
- DFT formation energy (eV/atom) = -0.35
- SG = R-3, No. 148

a b c (Å): 11.056 11.056 11.056
angles (deg): 37.53 37.53 37.53
Fractional positions:
Ba: 0.167 0.167 0.167
Ba: 0.833 0.833 0.833
Sn: 0.042 0.381 0.719
Sn: 0.281 0.958 0.619
Sn: 0.381 0.719 0.042
Sn: 0.619 0.281 0.958
Sn: 0.719 0.042 0.381
Sn: 0.958 0.619 0.281
As: 0.099 0.753 0.426
As: 0.247 0.574 0.901
As: 0.426 0.099 0.753
As: 0.574 0.901 0.247
As: 0.753 0.426 0.099
As: 0.901 0.247 0.574


2.
Below is a relaxed PmSm4Ho2Er crystal, with properties calculated at the GGA-PBE level.

Calculated values
- DFT formation energy (eV/atom) = 0.02
- SG = P2/m, No. 10

a b c (Å): 6.210 3.595 11.883
angles (deg): 90.00 100.13 90.00
Fractional positions:
Pm: 0.000 0.000 0.000
Sm: 0.250 0.000 0.748
Sm: 0.251 0.500 0.252
Sm: 0.749 0.500 0.748
Sm: 0.750 0.000 0.252
Ho: 0.500 0.000 0.500
Ho: 0.500 0.500 0.000
Er: 0.000 0.500 0.500


3.
Below is a relaxed RbPuTeSe crystal, with properties calculated at the GGA-PBE level.

Calculated values
- SG = R3m, No. 160
- formation energy from raw total energies (eV/atom) = -1.249

a b c (Å): 4.413 4.413 25.240
angles (deg): 90.00 90.00 120.00
Fractional positions:
Rb: 0.000 0.000 0.000
Rb: 0.333 0.667 0.667
Rb: 0.667 0.333 0.333
Pu: 0.000 0.000 0.160
Pu: 0.333 0.667 0.826
Pu: 0.667 0.333 0.493
Te: 0.000 0.000 0.565
Te: 0.333 0.667 0.231
Te: 0.667 0.333 0.898
Se: 0.000 0.000 0.768
Se: 0.333 0.667 0.434
Se: 0.667 0.333 0.101


Number 1: total energy -4.33 eV per atom, M_tot 0.0 μB per formula unit, DOS at the Fermi energy 4.73 states/eV/cell. Number 2: total energy -4.65 eV per atom, M_tot 0.0 μB per formula unit, DOS at the Fermi energy 11.11 states/eV/cell. Number 3: total energy -6.73 eV per atom, M_tot 5.0 μB per formula unit, DOS at the Fermi energy 35.19 states/eV/cell.